Compound: ScPb2Se4
Source: Alexandria
Functional: PBE
Structure: optimized geometry

Formation energy without anion corrections   -73.0 kJ per mole of atoms

Unit cell a=3.9480 b=14.2034 c=13.7741 alpha=90.00 beta=90.00 gamma=90.00
Space group Cmcm (No. 63)
Inequivalent atoms, fractional coordinates:
Sc1 0.0000 0.1158 0.2500 x4
Pb1 0.0000 0.3670 0.0711 x8
Se1 0.0000 0.0000 0.0000 x4
Se2 0.0000 0.2946 0.6362 x8
Se3 0.0000 0.4824 0.2500 x4